[1]
A plane-wave DFT calculation with GGA-PBE was carried out for a geometry-optimized Ag2SnGeB structure.

The value obtained for the calculated total energy is -2.898 eV/atom. The formation energy is 1.302 eV per atom.

The structure belongs to space group P4/mmm (No. 123); the cell edges are 4.858, 4.858 and 5.475 Å and the angles 90.00°, 90.00° and 90.00°. Symmetry generates all atoms from Ag at (0.000, 0.500, 0.000), Sn at (0.000, 0.000, 0.500), Ge at (0.000, 0.000, 0.000) and B at (0.500, 0.500, 0.500).

[2]
A plane-wave DFT calculation with GGA-PBE was carried out for a geometry-optimized TlAgGeB2 structure.

The value obtained for the calculated total energy is -3.150 eV/atom. The formation energy is 1.488 eV per atom.

The structure belongs to space group P4/mmm (No. 123); the cell edges are 4.164, 4.164 and 5.960 Å and the angles 90.00°, 90.00° and 90.00°. Symmetry generates all atoms from Tl at (0.000, 0.000, 0.000), Ag at (0.000, 0.000, 0.500), Ge at (0.500, 0.500, 0.000) and B at (0.000, 0.500, 0.500).